1.
A plane-wave DFT calculation with PBE was carried out for a relaxed KTl2SbRh crystal.

Cell and atoms, written as POSCAR:
```
KTl2SbRh
1.0
5.3579 0.0000 0.0000
0.0000 5.3579 0.0000
0.0000 0.0000 5.3484
K Tl Sb Rh
1 2 1 1
Direct
0.0000 0.0000 0.0000 K
0.0000 0.5000 0.5000 Tl
0.5000 0.0000 0.5000 Tl
0.5000 0.5000 0.0000 Sb
0.5000 0.5000 0.5000 Rh
```

## Properties
Energy relative to the elements, uncorrected in eV per atom: -0.0838


2.
A plane-wave DFT calculation with PBE was carried out for a relaxed KScRh2 crystal.

Cell and atoms, written as POSCAR:
```
KScRh2
1.0
-1.5969 2.6985 4.5357
1.5969 -2.6985 4.5357
1.5969 2.6985 -4.5357
K Sc Rh
1 1 2
Direct
0.0000 0.0000 0.0000 K
0.5000 0.5000 0.0000 Sc
0.2766 0.7766 0.5000 Rh
0.7234 0.2234 0.5000 Rh
```

## Properties
Energy relative to the elements in eV per atom: 0.228


3.
A plane-wave DFT calculation with PBE was carried out for a relaxed K4ScRh crystal.

Cell and atoms, written as POSCAR:
```
K4ScRh
1.0
0.0000 4.8303 4.8303
4.8303 0.0000 4.8303
4.8303 4.8303 0.0000
K Sc Rh
4 1 1
Direct
0.1229 0.1229 0.1229 K
0.1229 0.1229 0.6313 K
0.1229 0.6313 0.1229 K
0.6313 0.1229 0.1229 K
0.5000 0.5000 0.5000 Sc
0.7500 0.7500 0.7500 Rh
```

## Properties
Energy relative to the elements in eV per atom: 1.009


4.
A plane-wave DFT calculation with PBE was carried out for a relaxed KScRh2 crystal.

Cell and atoms, written as POSCAR:
```
KScRh2
1.0
-2.5458 2.5458 8.3839
2.5458 -2.5458 8.3839
2.5458 2.5458 -8.3839
K Sc Rh
2 2 4
Direct
0.0000 0.0000 0.0000 K
0.7500 0.2500 0.5000 K
0.2500 0.7500 0.5000 Sc
0.5000 0.5000 0.0000 Sc
0.2936 0.6250 0.1686 Rh
0.3750 0.5436 0.6686 Rh
0.4564 0.1250 0.8314 Rh
0.8750 0.7064 0.3314 Rh
```

## Properties
Energy relative to the elements in eV per atom: 0.353


5.
A plane-wave DFT calculation with PBE was carried out for a relaxed KScRh2 crystal.

Cell and atoms, written as POSCAR:
```
KScRh2
1.0
-2.0436 2.0436 4.5556
2.0436 -2.0436 4.5556
2.0436 2.0436 -4.5556
K Sc Rh
1 1 2
Direct
0.0000 0.0000 0.0000 K
0.7500 0.2500 0.5000 Sc
0.2500 0.7500 0.5000 Rh
0.5000 0.5000 0.0000 Rh
```

## Properties
Energy relative to the elements in eV per atom: 0.393


6.
A plane-wave DFT calculation with PBE was carried out for a relaxed KScRh2 crystal.

Cell and atoms, written as POSCAR:
```
KScRh2
1.0
3.3910 -3.3953 0.0000
3.3910 3.3953 0.0000
0.0000 0.0000 3.2939
K Sc Rh
1 1 2
Direct
0.0000 0.0000 0.0000 K
0.5000 0.5000 0.0000 Sc
0.0000 0.5000 0.5000 Rh
0.5000 0.0000 0.5000 Rh
```

## Properties
Energy relative to the elements in eV per atom: 0.243


7.
A plane-wave DFT calculation with PBE was carried out for a relaxed KScRh2 crystal.

Cell and atoms, written as POSCAR:
```
KScRh2
1.0
4.8404 -1.6499 0.0000
4.8404 1.6499 0.0000
-1.4084 0.0000 6.0320
K Sc Rh
1 1 2
Direct
0.0000 0.0000 0.0000 K
0.8063 0.8063 0.3979 Sc
0.2259 0.2259 0.6439 Rh
0.5062 0.5062 0.5462 Rh
```

## Properties
Energy relative to the elements in eV per atom: 0.061


8.
A plane-wave DFT calculation with PBE was carried out for a relaxed KScRh2 crystal.

Cell and atoms, written as POSCAR:
```
KScRh2
1.0
3.1400 0.0000 0.0000
0.0000 4.3842 0.0000
-1.5694 0.0000 6.8387
K Sc Rh
1 1 2
Direct
0.0000 0.0000 0.0000 K
0.2796 0.5000 0.5553 Sc
0.6352 0.5000 0.2656 Rh
0.7586 0.0000 0.5141 Rh
```

## Properties
Energy relative to the elements in eV per atom: 0.088


9.
A plane-wave DFT calculation with PBE was carried out for a relaxed KScRh2 crystal.

Cell and atoms, written as POSCAR:
```
KScRh2
1.0
4.1729 -1.5174 0.0000
4.1729 1.5174 0.0000
-0.9105 0.0000 7.2833
K Sc Rh
1 1 2
Direct
0.0000 0.0000 0.0000 K
0.5000 0.5000 0.5000 Sc
0.2306 0.2306 0.6572 Rh
0.7694 0.7694 0.3428 Rh
```

## Properties
Energy relative to the elements in eV per atom: -0.041


10.
A plane-wave DFT calculation with PBE was carried out for a relaxed KScRh2 crystal.

Cell and atoms, written as POSCAR:
```
KScRh2
1.0
3.4440 0.0000 0.0000
0.0000 3.4440 0.0000
0.0000 0.0000 8.4371
K Sc Rh
1 1 2
Direct
0.0000 0.0000 0.0000 K
0.5000 0.5000 0.5745 Sc
0.0000 0.0000 0.4194 Rh
0.5000 0.5000 0.2910 Rh
```

## Properties
Energy relative to the elements in eV per atom: 0.075


11.
A plane-wave DFT calculation with PBE was carried out for a relaxed KScRh2 crystal.

Cell and atoms, written as POSCAR:
```
KScRh2
1.0
1.5754 0.9096 9.1757
-1.5754 0.9096 9.1757
0.0000 -1.8191 9.1757
K Sc Rh
1 1 2
Direct
0.0000 0.0000 0.0000 K
0.5000 0.5000 0.5000 Sc
0.2361 0.2361 0.2361 Rh
0.7639 0.7639 0.7639 Rh
```

## Properties
Energy relative to the elements in eV per atom: -0.076


12.
A plane-wave DFT calculation with PBE was carried out for a relaxed KScRh2 crystal.

Cell and atoms, written as POSCAR:
```
KScRh2
1.0
3.1964 0.0000 0.0000
0.0000 3.1964 0.0000
0.0000 0.0000 8.0091
K Sc Rh
1 1 2
Direct
0.0000 0.0000 0.0000 K
0.0000 0.0000 0.5000 Sc
0.5000 0.5000 0.3126 Rh
0.5000 0.5000 0.6874 Rh
```

## Properties
Energy relative to the elements in eV per atom: -0.161


13.
A plane-wave DFT calculation with PBE was carried out for a relaxed KScRh4 crystal.

Cell and atoms, written as POSCAR:
```
KScRh4
1.0
0.0000 3.7592 3.7592
3.7592 0.0000 3.7592
3.7592 3.7592 0.0000
K Sc Rh
1 1 4
Direct
0.0000 0.0000 0.0000 K
0.2500 0.2500 0.2500 Sc
0.1265 0.6245 0.6245 Rh
0.6245 0.1265 0.6245 Rh
0.6245 0.6245 0.1265 Rh
0.6245 0.6245 0.6245 Rh
```

## Properties
Energy relative to the elements in eV per atom: -0.019


14.
A plane-wave DFT calculation with PBE was carried out for a relaxed KScRh2 crystal.

Cell and atoms, written as POSCAR:
```
KScRh2
1.0
-1.5149 2.5421 5.2105
1.5149 -2.5421 5.2105
1.5149 2.5421 -5.2105
K Sc Rh
1 1 2
Direct
0.0000 0.0000 0.0000 K
0.2949 0.7949 0.5000 Sc
0.4984 0.4984 0.0000 Rh
0.7170 0.2170 0.5000 Rh
```

## Properties
Energy relative to the elements in eV per atom: 0.198


15.
A plane-wave DFT calculation with PBE was carried out for a relaxed KScRh2 crystal.

Cell and atoms, written as POSCAR:
```
KScRh2
1.0
0.0000 3.3473 3.3473
3.3473 0.0000 3.3473
3.3473 3.3473 0.0000
K Sc Rh
1 1 2
Direct
0.0000 0.0000 0.0000 K
0.7500 0.7500 0.7500 Sc
0.2500 0.2500 0.2500 Rh
0.5000 0.5000 0.5000 Rh
```

## Properties
Energy relative to the elements in eV per atom: 0.408


16.
A plane-wave DFT calculation with PBE was carried out for a relaxed KScRh3 crystal.

Cell and atoms, written as POSCAR:
```
KScRh3
1.0
4.6804 0.0000 0.0000
0.0000 4.6804 0.0000
0.0000 0.0000 4.6804
K Sc Rh
1 1 3
Direct
0.0000 0.0000 0.0000 K
0.5000 0.5000 0.5000 Sc
0.0000 0.0000 0.5000 Rh
0.0000 0.5000 0.0000 Rh
0.5000 0.0000 0.0000 Rh
```

## Properties
Polymorph energy (0 for the lowest one) in eV per atom: 0.914
Energy relative to the elements in eV per atom: 1.575


17.
A plane-wave DFT calculation with PBE was carried out for a relaxed KScRh3 crystal.

Cell and atoms, written as POSCAR:
```
KScRh3
1.0
4.8457 0.0000 0.0000
0.0000 4.8457 0.0000
0.0000 0.0000 4.8457
K Sc Rh
1 1 3
Direct
0.0000 0.0000 0.0000 K
0.5000 0.5000 0.5000 Sc
0.0000 0.5000 0.5000 Rh
0.5000 0.0000 0.5000 Rh
0.5000 0.5000 0.0000 Rh
```

## Properties
Polymorph energy (0 for the lowest one) in eV per atom: 0.000
Energy relative to the elements in eV per atom: 0.660


18.
A plane-wave DFT calculation with PBE was carried out for a relaxed KSrScRh2 crystal.

Cell and atoms, written as POSCAR:
```
KSrScRh2
1.0
5.1052 0.0000 0.0000
0.0000 5.1052 0.0000
0.0000 0.0000 4.8497
K Sr Sc Rh
1 1 1 2
Direct
0.0000 0.0000 0.0000 K
0.5000 0.5000 0.5000 Sr
0.0000 0.0000 0.5000 Sc
0.0000 0.5000 0.0000 Rh
0.5000 0.0000 0.0000 Rh
```

## Properties
Energy relative to the elements in eV per atom: 1.243


19.
A plane-wave DFT calculation with PBE was carried out for a relaxed KSc2ZnRh crystal.

Cell and atoms, written as POSCAR:
```
KSc2ZnRh
1.0
5.0302 0.0000 0.0000
0.0000 5.0302 0.0000
0.0000 0.0000 5.1385
K Sc Zn Rh
1 2 1 1
Direct
0.0000 0.0000 0.0000 K
0.0000 0.5000 0.5000 Sc
0.5000 0.0000 0.5000 Sc
0.5000 0.5000 0.0000 Zn
0.5000 0.5000 0.5000 Rh
```

## Properties
Energy relative to the elements in eV per atom: -0.082


20.
A plane-wave DFT calculation with PBE was carried out for a relaxed KRhSe crystal.

Cell and atoms, written as POSCAR:
```
KRhSe
1.0
4.1693 0.0000 0.0000
-2.0846 3.6107 0.0000
0.0000 0.0000 5.1902
K Rh Se
1 1 1
Direct
0.0000 0.0000 0.0000 K
0.6667 0.3333 0.5000 Rh
0.3333 0.6667 0.5000 Se
```

## Properties
Energy relative to the elements, uncorrected in eV per atom: -0.4051


21.
A plane-wave DFT calculation with PBE was carried out for a relaxed K4RhSe4 crystal.

Cell and atoms, written as POSCAR:
```
K4RhSe4
1.0
-3.6886 3.6886 7.0275
3.6886 -3.6886 7.0275
3.6886 3.6886 -7.0275
K Rh Se
4 1 4
Direct
0.0000 0.5000 0.5000 K
0.1982 0.1982 0.0000 K
0.5000 0.0000 0.5000 K
0.8018 0.8018 0.0000 K
0.5000 0.5000 0.0000 Rh
0.2129 0.5565 0.0000 Se
0.4435 0.4435 0.6564 Se
0.5565 0.2129 0.0000 Se
0.7871 0.7871 0.3436 Se
```

## Properties
Energy relative to the elements, uncorrected in eV per atom: -0.6980


22.
A plane-wave DFT calculation with PBE was carried out for a relaxed K2RhSe crystal.

Cell and atoms, written as POSCAR:
```
K2RhSe
1.0
1.6581 0.9573 10.4685
-1.6581 0.9573 10.4685
0.0000 -1.9147 10.4685
K Rh Se
2 1 1
Direct
0.2502 0.2502 0.2502 K
0.7498 0.7498 0.7498 K
0.5000 0.5000 0.5000 Rh
0.0000 0.0000 0.0000 Se
```

## Properties
Energy relative to the elements, uncorrected in eV per atom: 0.3125


23.
A plane-wave DFT calculation with PBE was carried out for a relaxed K2RhSe crystal.

Cell and atoms, written as POSCAR:
```
K2RhSe
1.0
4.6640 0.0000 0.0000
0.0000 5.0951 0.0000
-0.0506 0.0000 7.1153
K Rh Se
2 1 1
Direct
0.2350 0.0000 0.2341 K
0.7650 0.0000 0.7659 K
0.0000 0.5000 0.0000 Rh
0.5000 0.5000 0.0000 Se
```

## Properties
Energy relative to the elements, uncorrected in eV per atom: -0.2734


24.
A plane-wave DFT calculation with PBE was carried out for a relaxed K2RhSe crystal.

Cell and atoms, written as POSCAR:
```
K2RhSe
1.0
3.1538 0.0000 0.0000
0.0000 3.1538 0.0000
0.0000 0.0000 9.9717
K Rh Se
2 1 1
Direct
0.0000 0.0000 0.2461 K
0.0000 0.0000 0.7539 K
0.5000 0.5000 0.5000 Rh
0.5000 0.5000 0.0000 Se
```

## Properties
Energy relative to the elements, uncorrected in eV per atom: 0.1576


25.
A plane-wave DFT calculation with PBE was carried out for a relaxed KRh4Se crystal.

Cell and atoms, written as POSCAR:
```
KRh4Se
1.0
0.0000 3.7634 3.7634
3.7634 0.0000 3.7634
3.7634 3.7634 0.0000
K Rh Se
1 4 1
Direct
0.0000 0.0000 0.0000 K
0.1276 0.6241 0.6241 Rh
0.6241 0.1276 0.6241 Rh
0.6241 0.6241 0.1276 Rh
0.6241 0.6241 0.6241 Rh
0.2500 0.2500 0.2500 Se
```

## Properties
Energy relative to the elements, uncorrected in eV per atom: 0.5160


26.
A plane-wave DFT calculation with PBE was carried out for a relaxed K4RhSe crystal.

Cell and atoms, written as POSCAR:
```
K4RhSe
1.0
0.0000 4.5934 4.5934
4.5934 0.0000 4.5934
4.5934 4.5934 0.0000
K Rh Se
4 1 1
Direct
0.3762 0.3762 0.3762 K
0.3762 0.3762 0.8713 K
0.3762 0.8713 0.3762 K
0.8713 0.3762 0.3762 K
0.0000 0.0000 0.0000 Rh
0.7500 0.7500 0.7500 Se
```

## Properties
Energy relative to the elements, uncorrected in eV per atom: 0.5115


27.
A plane-wave DFT calculation with PBE was carried out for a relaxed K2RhSe crystal.

Cell and atoms, written as POSCAR:
```
K2RhSe
1.0
2.6931 -4.5008 0.0000
2.6931 4.5008 0.0000
0.0000 0.0000 4.3156
K Rh Se
2 1 1
Direct
0.0000 0.5000 0.0000 K
0.5000 0.0000 0.0000 K
0.0000 0.0000 0.5000 Rh
0.5000 0.5000 0.5000 Se
```

## Properties
Energy relative to the elements, uncorrected in eV per atom: 0.0030


28.
A plane-wave DFT calculation with PBE was carried out for a relaxed K2RhSe2 crystal.

Cell and atoms, written as POSCAR:
```
K2RhSe2
1.0
6.8267 0.0000 0.0000
0.0000 6.8267 0.0000
0.0000 0.0000 5.2980
K Rh Se
4 2 4
Direct
0.1637 0.3363 0.0000 K
0.3363 0.8363 0.0000 K
0.6637 0.1637 0.0000 K
0.8363 0.6637 0.0000 K
0.0000 0.0000 0.5000 Rh
0.5000 0.5000 0.5000 Rh
0.1593 0.6593 0.5000 Se
0.3407 0.1593 0.5000 Se
0.6593 0.8407 0.5000 Se
0.8407 0.3407 0.5000 Se
```

## Properties
Energy relative to the elements, uncorrected in eV per atom: -0.5270


29.
A plane-wave DFT calculation with PBE was carried out for a relaxed K2RhSe crystal.

Cell and atoms, written as POSCAR:
```
K2RhSe
1.0
3.6929 -2.1323 0.0000
3.6929 2.1323 0.0000
-2.3770 0.0000 9.1723
K Rh Se
2 1 1
Direct
0.0000 0.0000 0.0000 K
0.1626 0.1626 0.5059 K
0.4143 0.4143 0.2529 Rh
0.7478 0.7478 0.2530 Se
```

## Properties
Energy relative to the elements, uncorrected in eV per atom: -0.3535


Number 1: calculated total energy -3.545 eV/atom. Number 2: calculated total energy -5.305 eV/atom. Number 3: calculated total energy -2.003 eV/atom. Number 4: calculated total energy -5.180 eV/atom. Number 5: calculated total energy -5.140 eV/atom. Number 6: calculated total energy -5.290 eV/atom. Number 7: calculated total energy -5.472 eV/atom. Number 8: calculated total energy -5.445 eV/atom. Number 9: calculated total energy -5.574 eV/atom. Number 10: calculated total energy -5.458 eV/atom. Number 11: calculated total energy -5.609 eV/atom. Number 12: calculated total energy -5.694 eV/atom. Number 13: calculated total energy -6.158 eV/atom. Number 14: calculated total energy -5.335 eV/atom. Number 15: calculated total energy -5.125 eV/atom. Number 16: calculated total energy -4.322 eV/atom. Number 17: calculated total energy -5.236 eV/atom. Number 18: calculated total energy -3.520 eV/atom. Number 19: calculated total energy -4.559 eV/atom. Number 20: calculated total energy -4.383 eV/atom. Number 21: calculated total energy -3.551 eV/atom. Number 22: calculated total energy -2.945 eV/atom. Number 23: calculated total energy -3.531 eV/atom. Number 24: calculated total energy -3.100 eV/atom. Number 25: calculated total energy -5.149 eV/atom. Number 26: calculated total energy -2.026 eV/atom. Number 27: calculated total energy -3.255 eV/atom. Number 28: calculated total energy -3.830 eV/atom. Number 29: calculated total energy -3.611 eV/atom.